Entry 1:
This record from Alexandria describes an optimized crystal structure of CaY2Al. The functional is PBE. Values from VASP.

```
&SYSTEM
  ibrav = 0, nat = 12, ntyp = 3
/
ATOMIC_SPECIES
Ca 40.08 Ca.upf
Y 88.91 Y.upf
Al 26.98 Al.upf
CELL_PARAMETERS angstrom
3.662 0.000 0.000
-1.831 3.172 0.000
0.000 0.000 32.464
ATOMIC_POSITIONS crystal
Ca 0.000 0.000 0.000
Ca 0.333 0.667 0.667
Ca 0.667 0.333 0.333
Y 0.000 0.000 0.234
Y 0.000 0.000 0.766
Y 0.333 0.667 0.432
Y 0.333 0.667 0.901
Y 0.667 0.333 0.099
Y 0.667 0.333 0.568
Al 0.000 0.000 0.500
Al 0.333 0.667 0.167
Al 0.667 0.333 0.833
```



Entry 2:
This record from Alexandria describes an optimized crystal structure of CaY2Al. The functional is PBE. Values from VASP.

```
&SYSTEM
  ibrav = 0, nat = 4, ntyp = 3
/
ATOMIC_SPECIES
Ca 40.08 Ca.upf
Y 88.91 Y.upf
Al 26.98 Al.upf
CELL_PARAMETERS angstrom
3.609 0.000 0.000
0.000 3.609 0.000
0.000 0.000 9.306
ATOMIC_POSITIONS crystal
Ca 0.000 0.000 0.000
Y 0.500 0.500 0.307
Y 0.500 0.500 0.693
Al 0.000 0.000 0.500
```



Entry 3:
This record from Alexandria describes an optimized crystal structure of CaYAlZn. The functional is PBE. Values from VASP.

```
&SYSTEM
  ibrav = 0, nat = 16, ntyp = 4
/
ATOMIC_SPECIES
Ca 40.08 Ca.upf
Y 88.91 Y.upf
Al 26.98 Al.upf
Zn 65.41 Zn.upf
CELL_PARAMETERS angstrom
7.288 0.000 0.000
0.000 7.288 0.000
0.000 0.000 7.288
ATOMIC_POSITIONS crystal
Ca 0.000 0.000 0.000
Ca 0.000 0.500 0.500
Ca 0.500 0.000 0.500
Ca 0.500 0.500 0.000
Y 0.000 0.000 0.500
Y 0.000 0.500 0.000
Y 0.500 0.000 0.000
Y 0.500 0.500 0.500
Al 0.250 0.250 0.250
Al 0.250 0.750 0.750
Al 0.750 0.250 0.750
Al 0.750 0.750 0.250
Zn 0.250 0.250 0.750
Zn 0.250 0.750 0.250
Zn 0.750 0.250 0.250
Zn 0.750 0.750 0.750
```



Entry 4:
This record from Alexandria describes an optimized crystal structure of CaYAlZn. The functional is PBE. Values from VASP.

```
&SYSTEM
  ibrav = 0, nat = 4, ntyp = 4
/
ATOMIC_SPECIES
Ca 40.08 Ca.upf
Y 88.91 Y.upf
Al 26.98 Al.upf
Zn 65.41 Zn.upf
CELL_PARAMETERS angstrom
3.590 0.000 0.000
0.000 3.590 0.000
0.000 0.000 7.514
ATOMIC_POSITIONS crystal
Ca 0.000 0.000 0.000
Y 0.000 0.000 0.510
Al 0.500 0.500 0.266
Zn 0.500 0.500 0.744
```



Entry 5:
This record from Alexandria describes an optimized crystal structure of CaYbAl4. The functional is PBE. Values from VASP.

```
&SYSTEM
  ibrav = 0, nat = 6, ntyp = 3
/
ATOMIC_SPECIES
Ca 40.08 Ca.upf
Yb 173.04 Yb.upf
Al 26.98 Al.upf
CELL_PARAMETERS angstrom
0.000 3.973 3.973
3.973 0.000 3.973
3.973 3.973 0.000
ATOMIC_POSITIONS crystal
Ca 0.000 0.000 0.000
Yb 0.250 0.250 0.250
Al 0.126 0.625 0.625
Al 0.625 0.126 0.625
Al 0.625 0.625 0.126
Al 0.625 0.625 0.625
```



Entry 6:
This record from Alexandria describes an optimized crystal structure of CaAlZn2. The functional is PBE. Values from VASP.

```
&SYSTEM
  ibrav = 0, nat = 4, ntyp = 3
/
ATOMIC_SPECIES
Ca 40.08 Ca.upf
Al 26.98 Al.upf
Zn 65.41 Zn.upf
CELL_PARAMETERS angstrom
4.424 0.000 0.000
0.000 4.424 0.000
0.000 0.000 4.111
ATOMIC_POSITIONS crystal
Ca 0.000 0.000 0.000
Al 0.500 0.500 0.000
Zn 0.000 0.500 0.500
Zn 0.500 0.000 0.500
```



Entry 7:
This record from Alexandria describes an optimized crystal structure of CaAl4Zn2. The functional is PBE. Values from VASP.

```
&SYSTEM
  ibrav = 0, nat = 14, ntyp = 3
/
ATOMIC_SPECIES
Ca 40.08 Ca.upf
Al 26.98 Al.upf
Zn 65.41 Zn.upf
CELL_PARAMETERS angstrom
4.203 0.000 0.000
0.000 15.314 0.000
0.000 0.000 4.106
ATOMIC_POSITIONS crystal
Ca 0.000 0.000 0.000
Ca 0.500 0.500 0.000
Al 0.000 0.186 0.500
Al 0.000 0.310 0.000
Al 0.000 0.690 0.000
Al 0.000 0.814 0.500
Al 0.500 0.190 0.000
Al 0.500 0.314 0.500
Al 0.500 0.686 0.500
Al 0.500 0.810 0.000
Zn 0.000 0.418 0.500
Zn 0.000 0.582 0.500
Zn 0.500 0.082 0.500
Zn 0.500 0.918 0.500
```



Entry 8:
This record from Alexandria describes an optimized crystal structure of Ca2AlZn6. The functional is PBE. Values from VASP.

```
&SYSTEM
  ibrav = 0, nat = 9, ntyp = 3
/
ATOMIC_SPECIES
Ca 40.08 Ca.upf
Al 26.98 Al.upf
Zn 65.41 Zn.upf
CELL_PARAMETERS angstrom
5.751 0.000 0.000
-2.875 4.980 0.000
0.000 0.000 6.015
ATOMIC_POSITIONS crystal
Ca 0.333 0.667 0.142
Ca 0.667 0.333 0.858
Al 0.000 0.000 0.000
Zn 0.176 0.353 0.659
Zn 0.176 0.824 0.659
Zn 0.353 0.176 0.341
Zn 0.647 0.824 0.659
Zn 0.824 0.176 0.341
Zn 0.824 0.647 0.341
```



| no. | energy of formation (eV/atom) |
| --- | --- |
| 1 | -0.040 |
| 2 | -0.162 |
| 3 | -0.305 |
| 4 | -0.307 |
| 5 | -0.377 |
| 6 | -0.094 |
| 7 | -0.180 |
| 8 | -0.244 |